Entry 1:
# Ca2ReNi

Crystalline Ca2ReNi at its relaxed geometry (GGA-PBEsol, the Alexandria database).

Lattice parameters (Å, degrees): 3.181 3.181 8.564 90.00 90.00 95.18
Fractional coordinates of all 4 atoms:
1 Ca 0.000 0.000 0.931
2 Ca 0.500 0.500 0.326
3 Ni 0.000 0.000 0.562
4 Re 0.500 0.500 0.680

Summary:
Energy of formation   1.64 eV/f.u.
Space group   Cmm2 (35)


Entry 2:
# CaRe2Ni2

Crystalline CaRe2Ni2 at its relaxed geometry (GGA-PBEsol, the Alexandria database).

Lattice parameters (Å, degrees): 3.737 3.737 6.239 107.43 107.43 90.00
Fractional coordinates of all 5 atoms:
1 Re 0.250 0.750 0.500
2 Re 0.750 0.250 0.500
3 Ca 0.000 0.000 0.000
4 Ni 0.397 0.397 0.793
5 Ni 0.603 0.603 0.207

Summary:
Energy of formation   1.34 eV/f.u.
Space group   I4/mmm (139)


Entry 3:
# CaReNiS2

Crystalline CaReNiS2 at its relaxed geometry (GGA-PBEsol, the Alexandria database).

Lattice parameters (Å, degrees): 4.329 4.905 4.905 90.00 90.00 90.00
Site moments in Bohr magnetons follow the coordinates.
Fractional coordinates of all 5 atoms:
1 Re 0.500 0.500 0.500  -3.26
2 Ca 0.000 0.000 0.000  0.01
3 S 0.000 0.000 0.500  0.05
4 S 0.000 0.500 0.000  0.05
5 Ni 0.500 0.000 0.000  -0.09

Summary:
Energy relative to the elements, uncorrected   1.62 eV per atom
Space group   P4/mmm (123)